A geometry-optimized Pm4Sb2Br structure. Source: the Alexandria database, functional PBE-GGA.

**Mass density**: 6.77 g/cm3
**Raw formation energy**: -853 meV per atom
**Magnetic moment**: 0.00 μB/f.u.
**N(E_F)**: 11.23 states/eV per cell

Unit cell a=7.655 b=6.648 c=9.113 alpha=90.00 beta=107.17 gamma=90.00
Space group P2_1/m (No. 11)
Unique sites:
Pm  0.037  0.004  0.244 [4 per cell]
Pm  0.449  0.250  0.149 [2 per cell]
Pm  0.461  0.250  0.564 [2 per cell]
Sb  0.202  0.750  0.557 [2 per cell]
Sb  0.240  0.750  0.050 [2 per cell]
Br  0.292  0.250  0.812 [2 per cell]